# ZrZnAgAu

A geometry-optimized ZrZnAgAu structure (PBE-GGA, the Open Quantum Materials Database).

DFT formation energy: -0.23 eV per atom
Final energy: -16.82 eV per cell

a b c (Å): 4.6535 4.6535 4.6535
angles (deg): 60.00 60.00 60.00
Closest atoms and distances in Å follow each position.
Fractional positions:
Zr (0.0000, 0.0000, 0.0000)  4 Zn 2.85, 4 Ag 2.85
Zn (0.7500, 0.7500, 0.7500)  4 Zr 2.85, 4 Au 2.85
Ag (0.2500, 0.2500, 0.2500)  4 Zr 2.85, 4 Au 2.85
Au (0.5000, 0.5000, 0.5000)  4 Zn 2.85, 4 Ag 2.85